Entry from the Alexandria database: a geometry-optimized Ca2PrSm3Te6 structure (PBE).

The structure belongs to space group C2/m (No. 12); the cell edges are 7.7229, 13.3941 and 7.7986 Å and the angles 90.00°, 109.37° and 90.00°. The asymmetric unit holds Ca at (0.0000, 0.1675, 0.0000), Pr at (0.0000, 0.5000, 0.0000), Sm at (0.0000, 0.0000, 0.5000), Sm at (0.0000, 0.3343, 0.5000), Te at (0.2444, 0.0000, 0.2507) and Te at (0.2469, 0.1694, 0.7497).

The uncorrected formation energy is -141.35 kJ/mol of atoms. The calculation puts the mass density at 6.274 g/cm³. The value obtained for the volume is 31.7 Å³ per atom. For the magnetization, the calculation gives 0.0000 μB per atom.